(1)
First-principles (PBE-GGA) data for a relaxed structure of TaSi3, as listed in the Alexandria database.

Cell: 3.182 4.335 4.329 Å, 90.00 90.00 90.00°
Fractional coordinates of all 4 atoms:
Ta (0.000, 0.500, 0.334)
Si (0.500, 0.000, 0.513)
Si (0.000, 0.000, 0.972)
Si (0.500, 0.500, 0.848)

## Properties
Final energy in eV for the cell shown: -27.73
Crystal system: orthorhombic
DOS at the Fermi energy in states/eV per atom: 0.388

=====

(2)
First-principles (PBE-GGA) data for a relaxed structure of Ta2Si, as listed in the Alexandria database.

Cell: 3.340 3.340 5.498 Å, 90.00 90.00 120.00°
Fractional coordinates of all 3 atoms:
Ta (0.333, 0.667, 0.308)
Ta (0.667, 0.333, 0.692)
Si (0.000, 0.000, 0.000)

## Properties
Final energy in eV for the cell shown: -29.16
Crystal system: trigonal
DOS at the Fermi energy in states/eV per atom: 0.409

=====

(3)
First-principles (PBE-GGA) data for a relaxed structure of Ta3Si, as listed in the Alexandria database.

Cell: 4.569 4.569 4.569 Å, 60.00 60.00 60.00°
Fractional coordinates of all 4 atoms:
Ta (0.500, 0.500, 0.500)
Ta (0.250, 0.250, 0.250)
Ta (0.750, 0.750, 0.750)
Si (0.000, 0.000, 0.000)

## Properties
Final energy in eV for the cell shown: -41.01
Crystal system: cubic
DOS at the Fermi energy in states/eV per atom: 0.967

=====

(4)
First-principles (PBE-GGA) data for a relaxed structure of Ta4Si5, as listed in the Alexandria database.

Cell: 7.927 7.927 5.202 Å, 90.00 90.00 120.00°
Fractional coordinates of all 18 atoms:
Ta (0.625, 0.000, 0.750)
Ta (0.625, 0.625, 0.250)
Ta (0.000, 0.000, 0.500)
Ta (0.375, 0.375, 0.750)
Ta (0.000, 0.625, 0.750)
Ta (0.000, 0.000, 0.000)
Ta (0.000, 0.375, 0.250)
Ta (0.375, 0.000, 0.250)
Si (0.333, 0.667, 0.000)
Si (0.708, 0.708, 0.750)
Si (0.667, 0.333, 0.500)
Si (0.667, 0.333, 0.000)
Si (0.292, 0.000, 0.750)
Si (0.333, 0.667, 0.500)
Si (0.000, 0.708, 0.250)
Si (0.292, 0.292, 0.250)
Si (0.000, 0.292, 0.750)
Si (0.708, 0.000, 0.250)

## Properties
Final energy in eV for the cell shown: -150.82
Crystal system: hexagonal
Energy above the most stable polymorph in this dataset in meV per atom: 63
DOS at the Fermi energy in states/eV per atom: 0.760

=====

(5)
First-principles (PBE-GGA) data for a relaxed structure of TaSi3, as listed in the Alexandria database.

Cell: 2.825 2.825 7.571 Å, 90.00 90.00 90.00°
Fractional coordinates of all 4 atoms:
Ta (0.000, 0.000, 0.000)
Si (0.500, 0.500, 0.255)
Si (0.000, 0.000, 0.500)
Si (0.500, 0.500, 0.745)

## Properties
Final energy in eV for the cell shown: -27.30
Crystal system: tetragonal
DOS at the Fermi energy in states/eV per atom: 0.549

=====

(6)
First-principles (PBE-GGA) data for a relaxed structure of Ta2Si, as listed in the Alexandria database.

Cell: 4.156 4.156 3.237 Å, 90.00 90.00 90.00°
Fractional coordinates of all 3 atoms:
Ta (0.500, 0.000, 0.500)
Ta (0.000, 0.500, 0.500)
Si (0.000, 0.000, 0.000)

## Properties
Final energy in eV for the cell shown: -28.44
Crystal system: tetragonal
DOS at the Fermi energy in states/eV per atom: 0.848

=====

(7)
First-principles (PBE-GGA) data for a relaxed structure of TaSi3, as listed in the Alexandria database.

Cell: 4.919 4.919 4.608 Å, 83.46 83.46 32.65°
Fractional coordinates of all 4 atoms:
Si (0.500, 0.500, 0.500)
Si (0.259, 0.259, 0.249)
Si (0.741, 0.741, 0.751)
Ta (0.000, 0.000, 0.000)

## Properties
Final energy in eV for the cell shown: -27.90
Crystal system: monoclinic
DOS at the Fermi energy in states/eV per atom: 0.361

=====

(8)
First-principles (PBE-GGA) data for a relaxed structure of Ta2Si, as listed in the Alexandria database.

Cell: 12.616 12.616 12.616 Å, 166.99 166.99 18.44°
Fractional coordinates of all 6 atoms:
Ta (0.574, 0.574, 0.000)
Ta (0.324, 0.824, 0.500)
Ta (0.426, 0.426, 0.000)
Ta (0.176, 0.676, 0.500)
Si (0.000, 0.000, 0.000)
Si (0.750, 0.250, 0.500)

## Properties
Final energy in eV for the cell shown: -57.62
Crystal system: tetragonal
DOS at the Fermi energy in states/eV per atom: 0.636

=====

(9)
First-principles (PBE-GGA) data for a relaxed structure of Ta3Si, as listed in the Alexandria database.

Cell: 3.385 3.385 5.921 Å, 90.00 90.00 90.00°
Fractional coordinates of all 4 atoms:
Si (0.000, 0.000, 0.000)
Ta (0.500, 0.500, 0.231)
Ta (0.000, 0.000, 0.500)
Ta (0.500, 0.500, 0.769)

## Properties
Final energy in eV for the cell shown: -42.02
Crystal system: tetragonal
DOS at the Fermi energy in states/eV per atom: 0.740

=====

(10)
First-principles (PBE-GGA) data for a relaxed structure of Ta4Si5, as listed in the Alexandria database.

Cell: 6.452 6.452 6.452 Å, 94.65 94.65 146.92°
Fractional coordinates of all 9 atoms:
Ta (0.000, 0.704, 0.704)
Ta (0.704, 0.000, 0.704)
Ta (0.000, 0.296, 0.296)
Ta (0.296, 0.000, 0.296)
Si (0.318, 0.682, 0.000)
Si (0.000, 0.000, 0.000)
Si (0.318, 0.318, 0.636)
Si (0.682, 0.318, 0.000)
Si (0.682, 0.682, 0.364)

## Properties
Final energy in eV for the cell shown: -75.98
Crystal system: tetragonal
Energy above the most stable polymorph in this dataset in meV per atom: 0
DOS at the Fermi energy in states/eV per atom: 0.294

=====

(11)
First-principles (PBE-GGA) data for a relaxed structure of Ta3Si, as listed in the Alexandria database.

Cell: 4.079 4.079 4.079 Å, 90.00 90.00 90.00°
Fractional coordinates of all 4 atoms:
Ta (0.500, 0.000, 0.500)
Ta (0.500, 0.500, 0.000)
Ta (0.000, 0.500, 0.500)
Si (0.000, 0.000, 0.000)

## Properties
Final energy in eV for the cell shown: -41.58
Crystal system: cubic
DOS at the Fermi energy in states/eV per atom: 1.209

=====

(12)
First-principles (PBE-GGA) data for a relaxed structure of TaSi3, as listed in the Alexandria database.

Cell: 4.949 6.134 8.322 Å, 90.00 90.00 90.00°
Fractional coordinates of all 16 atoms:
Si (0.139, 0.006, 0.750)
Si (0.999, 0.300, 0.052)
Si (0.001, 0.700, 0.948)
Si (0.501, 0.800, 0.448)
Si (0.501, 0.800, 0.052)
Si (0.861, 0.994, 0.250)
Si (0.499, 0.200, 0.948)
Si (0.999, 0.300, 0.448)
Si (0.361, 0.506, 0.750)
Si (0.639, 0.494, 0.250)
Si (0.001, 0.700, 0.552)
Si (0.499, 0.200, 0.552)
Ta (0.641, 0.865, 0.750)
Ta (0.359, 0.135, 0.250)
Ta (0.141, 0.635, 0.250)
Ta (0.859, 0.365, 0.750)

## Properties
Final energy in eV for the cell shown: -114.53
Crystal system: orthorhombic
DOS at the Fermi energy in states/eV per atom: 0.302

=====

(13)
First-principles (PBE-GGA) data for a relaxed structure of Ta3Si, as listed in the Alexandria database.

Cell: 10.217 10.217 5.212 Å, 90.00 90.00 90.00°
Fractional coordinates of all 32 atoms:
Ta (0.481, 0.354, 0.274)
Ta (0.400, 0.086, 0.031)
Ta (0.687, 0.214, 0.014)
Ta (0.714, 0.813, 0.514)
Ta (0.854, 0.019, 0.774)
Ta (0.286, 0.187, 0.514)
Ta (0.019, 0.146, 0.226)
Ta (0.786, 0.687, 0.986)
Ta (0.519, 0.646, 0.274)
Ta (0.354, 0.519, 0.726)
Ta (0.586, 0.100, 0.531)
Ta (0.600, 0.914, 0.031)
Ta (0.813, 0.286, 0.486)
Ta (0.900, 0.586, 0.469)
Ta (0.313, 0.786, 0.014)
Ta (0.214, 0.313, 0.986)
Ta (0.414, 0.900, 0.531)
Ta (0.086, 0.600, 0.969)
Ta (0.146, 0.981, 0.774)
Ta (0.981, 0.854, 0.226)
Ta (0.187, 0.714, 0.486)
Ta (0.646, 0.481, 0.726)
Ta (0.914, 0.400, 0.969)
Ta (0.100, 0.414, 0.469)
Si (0.531, 0.705, 0.780)
Si (0.795, 0.031, 0.280)
Si (0.705, 0.469, 0.220)
Si (0.295, 0.531, 0.220)
Si (0.969, 0.795, 0.720)
Si (0.031, 0.205, 0.720)
Si (0.205, 0.969, 0.280)
Si (0.469, 0.295, 0.780)

## Properties
Final energy in eV for the cell shown: -341.96
Crystal system: tetragonal
DOS at the Fermi energy in states/eV per atom: 0.687

=====

(14)
First-principles (PBE-GGA) data for a relaxed structure of TaSi3, as listed in the Alexandria database.

Cell: 4.930 4.930 4.930 Å, 90.00 90.00 90.00°
Fractional coordinates of all 8 atoms:
Si (0.000, 0.250, 0.500)
Si (0.500, 0.000, 0.250)
Si (0.750, 0.500, 0.000)
Si (0.000, 0.750, 0.500)
Si (0.250, 0.500, 0.000)
Si (0.500, 0.000, 0.750)
Ta (0.000, 0.000, 0.000)
Ta (0.500, 0.500, 0.500)

## Properties
Final energy in eV for the cell shown: -55.52
Crystal system: cubic
DOS at the Fermi energy in states/eV per atom: 0.890

=====

(15)
First-principles (PBE-GGA) data for a relaxed structure of TaSi3, as listed in the Alexandria database.

Cell: 3.892 3.892 3.892 Å, 90.00 90.00 90.00°
Fractional coordinates of all 4 atoms:
Si (0.500, 0.500, 0.000)
Si (0.500, 0.000, 0.500)
Si (0.000, 0.500, 0.500)
Ta (0.000, 0.000, 0.000)

## Properties
Final energy in eV for the cell shown: -27.12
Crystal system: cubic
DOS at the Fermi energy in states/eV per atom: 0.580

=====

(16)
First-principles (PBE-GGA) data for a relaxed structure of Ta2Si, as listed in the Alexandria database.

Cell: 13.337 13.337 13.337 Å, 163.13 163.13 23.95°
Fractional coordinates of all 12 atoms:
Ta (0.663, 0.163, 0.500)
Ta (0.499, 0.999, 0.500)
Ta (0.587, 0.587, 0.000)
Ta (0.837, 0.337, 0.500)
Ta (0.001, 0.501, 0.500)
Ta (0.249, 0.249, 0.000)
Ta (0.751, 0.751, 0.000)
Ta (0.413, 0.413, 0.000)
Si (0.077, 0.077, 0.000)
Si (0.173, 0.673, 0.500)
Si (0.923, 0.923, 0.000)
Si (0.327, 0.827, 0.500)

## Properties
Final energy in eV for the cell shown: -119.16
Crystal system: tetragonal
DOS at the Fermi energy in states/eV per atom: 0.691

=====

(17)
First-principles (PBE-GGA) data for a relaxed structure of Ta3Si, as listed in the Alexandria database.

Cell: 5.753 5.753 9.467 Å, 90.00 90.00 119.99°
Fractional coordinates of all 16 atoms:
Ta (0.833, 0.667, 0.250)
Ta (0.500, 0.000, 0.500)
Ta (0.167, 0.333, 0.750)
Ta (0.500, 0.500, 0.000)
Ta (0.667, 0.833, 0.750)
Ta (0.500, 0.000, 0.000)
Ta (0.500, 0.500, 0.500)
Ta (0.167, 0.833, 0.750)
Ta (0.833, 0.167, 0.250)
Ta (0.000, 0.500, 0.000)
Ta (0.000, 0.500, 0.500)
Ta (0.333, 0.167, 0.250)
Si (0.667, 0.333, 0.750)
Si (0.333, 0.667, 0.250)
Si (0.000, 0.000, 0.000)
Si (0.000, 0.000, 0.500)

## Properties
Final energy in eV for the cell shown: -166.19
Crystal system: hexagonal
DOS at the Fermi energy in states/eV per atom: 0.919

=====

(18)
First-principles (PBE-GGA) data for a relaxed structure of Ta3Si, as listed in the Alexandria database.

Cell: 5.702 5.702 4.839 Å, 90.00 90.00 120.00°
Fractional coordinates of all 8 atoms:
Ta (0.166, 0.834, 0.750)
Ta (0.834, 0.668, 0.250)
Ta (0.166, 0.332, 0.750)
Ta (0.668, 0.834, 0.750)
Ta (0.332, 0.166, 0.250)
Ta (0.834, 0.166, 0.250)
Si (0.667, 0.333, 0.750)
Si (0.333, 0.667, 0.250)

## Properties
Final energy in eV for the cell shown: -82.76
Crystal system: hexagonal
DOS at the Fermi energy in states/eV per atom: 1.147

=====

(19)
First-principles (PBE-GGA) data for a relaxed structure of Ta2Si, as listed in the Alexandria database.

Cell: 5.399 5.399 5.399 Å, 60.00 60.00 60.00°
Fractional coordinates of all 6 atoms:
Ta (0.125, 0.125, 0.625)
Ta (0.125, 0.125, 0.125)
Ta (0.125, 0.625, 0.125)
Ta (0.625, 0.125, 0.125)
Si (0.750, 0.750, 0.750)
Si (0.500, 0.500, 0.500)

## Properties
Final energy in eV for the cell shown: -54.64
Crystal system: cubic
DOS at the Fermi energy in states/eV per atom: 0.858

=====

(20)
First-principles (PBE-GGA) data for a relaxed structure of TaSi3, as listed in the Alexandria database.

Cell: 4.423 4.423 4.423 Å, 60.00 60.00 60.00°
Fractional coordinates of all 4 atoms:
Ta (0.250, 0.250, 0.250)
Si (0.750, 0.750, 0.750)
Si (0.000, 0.000, 0.000)
Si (0.500, 0.500, 0.500)

## Properties
Final energy in eV for the cell shown: -26.33
Crystal system: cubic
DOS at the Fermi energy in states/eV per atom: 1.060